# 1
Entry from the Alexandria database: La2YTmS6 after structural relaxation (PBE).

Properties
Energy relative to the elements, uncorrected = -2109 meV/atom
Crystal system = trigonal
Electronic total energy = -0.24492 Ha/atom

Cell: 7.118 7.118 7.395 Å, 61.23 61.24 60.01°
Fractional positions:
S  0.443  0.689  0.762
S  0.106  0.443  0.762
S  0.601  0.192  0.260
S  0.948  0.601  0.260
S  0.192  0.948  0.260
S  0.689  0.106  0.762
La  0.526  0.526  0.423
La  0.025  0.025  0.924
Tm  0.317  0.316  0.051
Y  0.816  0.816  0.553

***

# 2
Entry from the Alexandria database: La6POs2Br3 after structural relaxation (PBE).

Properties
Energy relative to the elements, uncorrected = -1084 meV/atom
Crystal system = monoclinic
Electronic total energy = -0.23109 Ha/atom

Cell: 7.359 7.359 8.131 Å, 98.89 98.89 119.82°
Fractional positions:
La  0.937  0.590  0.801
La  0.718  0.718  0.198
La  0.410  0.063  0.199
La  0.063  0.410  0.199
La  0.282  0.282  0.802
La  0.590  0.937  0.801
Br  0.500  0.500  0.500
Br  0.163  0.837  0.500
Br  0.837  0.163  0.500
Os  0.667  0.333  0.000
Os  0.333  0.667  0.000
P  0.000  0.000  0.000

***

# 3
Entry from the Alexandria database: LiZnPt2 after structural relaxation (PBE).

Properties
Crystal system = tetragonal
ΔH_f (0 K) = -0.591 eV per atom
Electronic total energy = -0.16201 Ha/atom

Cell: 4.031 4.031 3.448 Å, 90.00 90.00 90.00°
Fractional positions:
Pt  0.500  0.500  0.000
Pt  0.000  0.000  0.000
Zn  0.500  0.000  0.500
Li  0.000  0.500  0.500

***

# 4
Entry from the Alexandria database: ErIn3Te4 after structural relaxation (PBE).

Properties
Energy relative to the elements, uncorrected = -596 meV/atom
Crystal system = trigonal
Electronic total energy = -0.13835 Ha/atom

Cell: 4.391 4.391 15.893 Å, 82.06 82.06 60.00°
Fractional positions:
Te  0.629  0.629  0.112
Te  0.371  0.371  0.888
Te  0.130  0.130  0.611
Te  0.870  0.870  0.389
In  0.248  0.248  0.257
In  0.500  0.500  0.500
In  0.752  0.752  0.743
Er  0.000  0.000  0.000

***

# 5
Entry from the Alexandria database: Tc2SbCl after structural relaxation (PBE).

Properties
Relative energy among the computed polymorphs = 16.46 kcal/mol of atoms
Energy relative to the elements, uncorrected = 624 meV/atom
Crystal system = cubic
Electronic total energy = -0.22239 Ha/atom

Cell: 4.542 4.542 4.542 Å, 60.00 60.00 60.00°
Fractional positions:
Tc  0.250  0.250  0.250
Tc  0.750  0.750  0.750
Sb  0.500  0.500  0.500
Cl  0.000  0.000  0.000

***

# 6
Entry from the Alexandria database: Na2Tl2SnPb4 after structural relaxation (PBE).

Properties
Crystal system = triclinic
ΔH_f (0 K) = -0.063 eV per atom
Electronic total energy = -0.10932 Ha/atom

Cell: 6.231 8.330 9.297 Å, 128.08 125.82 87.27°
Fractional positions:
Pb  0.112  0.886  0.330
Pb  0.451  0.556  0.337
Pb  0.888  0.114  0.670
Pb  0.549  0.444  0.663
Tl  0.674  0.331  0.007
Tl  0.326  0.669  0.993
Na  0.226  0.785  0.669
Na  0.774  0.215  0.331
Sn  0.000  0.000  0.000

***

What did the third record say?
Entry from the Alexandria database: LiZnPt2 after structural relaxation (PBE).

Properties
Crystal system = tetragonal
ΔH_f (0 K) = -0.591 eV per atom
Electronic total energy = -0.16201 Ha/atom

Cell: 4.031 4.031 3.448 Å, 90.00 90.00 90.00°
Fractional positions:
Pt  0.500  0.500  0.000
Pt  0.000  0.000  0.000
Zn  0.500  0.000  0.500
Li  0.000  0.500  0.500